Entry from Alexandria via LeMat-Bulk: a relaxed structure of LaSmDyMg (PBE).

abc: 5.633 5.633 5.633
angles: 60.00 60.00 60.00
Positions (direct):
Mg1 0.500 0.500 0.500
La1 0.250 0.250 0.250
Sm1 0.750 0.750 0.750
Dy1 0.000 0.000 0.000

Computed properties:
SG	F-43m
ΔE_f	0.022	eV/atom


Entry from Alexandria via LeMat-Bulk: a relaxed structure of In3NiAu (PBE).

abc: 5.888 9.285 9.286
angles: 120.93 90.00 90.00
Positions (direct):
In1 0.000 0.699 0.699
In2 0.000 0.301 0.301
In3 0.500 0.801 0.801
In4 0.500 0.199 0.199
In5 0.541 0.627 0.374
In6 0.459 0.373 0.626
In7 0.041 0.873 0.126
In8 0.959 0.127 0.874
In9 0.250 0.459 0.042
In10 0.750 0.541 0.958
In11 0.750 0.041 0.458
In12 0.250 0.959 0.542
Ni1 0.750 0.879 0.621
Ni2 0.250 0.121 0.379
Ni3 0.250 0.621 0.879
Ni4 0.750 0.379 0.121
Au1 0.037 0.639 0.361
Au2 0.963 0.361 0.639
Au3 0.537 0.861 0.139
Au4 0.463 0.139 0.861

Computed properties:
SG	Cmce
ΔE_f	-0.085	eV/atom


| no. | density of states at the Fermi level (states/eV per atom) | VASP energy (eV/atom) | spin magnetization (μB/cell) |
| --- | --- | --- | --- |
| 1 | 1.29 | -3.939 | 0.000 |
| 2 | 0.38 | -3.540 | 0.000 |